The following is a DFT calculation (PBE) of Rb2Cr2Cl7 after structural relaxation.

Summary:
Uncorrected energy in eV per atom: -4.3939

a = 5.5994 Å, b = 8.8033 Å, c = 8.8033 Å
α = 112.14°, β = 95.65°, γ = 95.65°
Positions (direct):
Cl1 0.2254 0.6202 0.9174
Cl2 0.7624 0.6247 0.6247
Cl3 0.2376 0.3753 0.3753
Cl4 0.7746 0.3798 0.0826
Cl5 0.2254 0.9174 0.6202
Cl6 0.7746 0.0826 0.3798
Cl7 0.0000 0.0000 0.0000
Rb1 0.5000 0.6989 0.3011
Rb2 0.5000 0.3011 0.6989
Cr1 0.8939 0.2206 0.2206
Cr2 0.1061 0.7794 0.7794